Below is a relaxed Cs3Mn2CdBr9 crystal, with properties calculated at the PBE-GGA level.

extended XYZ file:
```
15
Lattice="7.7734 0.0000 0.0000 -3.8867 6.7320 0.0000 0.0000 0.0000 9.5142" Properties=species:S:1:pos:R:3 pbc="T T T"
Cs 0.0000 0.0000 0.0000
Cs 0.0000 4.4880 6.3412
Cs 3.8867 2.2440 3.1731
Mn 0.0000 4.4880 1.5435
Mn 3.8867 2.2440 7.9708
Cd 0.0000 0.0000 4.7571
Br -1.9433 3.3660 0.0000
Br 0.0000 2.2951 3.1186
Br -1.8990 5.5844 3.1186
Br 1.9877 1.1476 6.3956
Br 3.8867 0.0000 0.0000
Br 1.9433 3.3660 0.0000
Br 1.8990 5.5844 3.1186
Br 5.7857 1.1476 6.3956
Br 3.8867 4.4368 6.3956
```

Calculated values
The total moment comes out at 0.67 μB per atom. The value obtained for the formation energy from raw total energies is -1.20 eV/atom. As for the space group: No. 164. Its uncorrected energy is -3.6613 eV per atom.

***

Below is a relaxed CsCdMoBr2 crystal, with properties calculated at the PBE-GGA level.

extended XYZ file:
```
5
Lattice="5.5742 0.0000 0.0000 0.0000 5.5742 0.0000 0.0000 0.0000 5.6265" Properties=species:S:1:pos:R:3 pbc="T T T"
Cs 0.0000 0.0000 0.0000
Cd 2.7871 2.7871 0.0000
Mo 2.7871 2.7871 2.8132
Br 0.0000 2.7871 2.8132
Br 2.7871 0.0000 2.8132
```

Calculated values
The total moment comes out at 0.73 μB per atom. The value obtained for the formation energy from raw total energies is -0.19 eV/atom. As for the space group: No. 123. Its uncorrected energy is -3.3813 eV per atom.

***

Below is a relaxed Cs2CdBr6N crystal, with properties calculated at the PBE-GGA level.

extended XYZ file:
```
10
Lattice="-3.7717 3.7717 6.0182 3.7717 -3.7717 6.0182 3.7717 3.7717 -6.0182" Properties=species:S:1:pos:R:3 pbc="T T T"
Cs 3.7717 0.0000 3.0091
Cs 0.0000 3.7717 3.0091
Cd 0.0000 0.0000 0.0000
Br 0.0000 0.0000 2.5718
Br 2.1179 2.1179 0.0000
Br 1.6538 -1.6538 6.0182
Br -1.6538 1.6538 6.0182
Br 1.6538 1.6538 6.0182
Br 0.0000 0.0000 9.4646
N 0.0000 0.0000 6.0182
```

Calculated values
The total moment comes out at 0.10 μB per atom. The value obtained for the formation energy from raw total energies is -0.54 eV/atom. As for the space group: No. 139. Its uncorrected energy is -2.6338 eV per atom.

***

Below is a relaxed Cs3NaCd2Br9 crystal, with properties calculated at the PBE-GGA level.

extended XYZ file:
```
15
Lattice="7.9655 0.0000 0.0000 -3.9828 6.8984 0.0000 0.0000 0.0000 9.9450" Properties=species:S:1:pos:R:3 pbc="T T T"
Cs 0.0000 0.0000 0.0000
Cs 0.0000 4.5989 6.6095
Cs 3.9828 2.2995 3.3354
Na 0.0000 0.0000 4.9725
Cd 0.0000 4.5989 1.6826
Cd 3.9828 2.2995 8.2624
Br -1.9914 3.4492 0.0000
Br 0.0000 2.3311 3.2227
Br -1.9639 5.7328 3.2227
Br 2.0188 1.1656 6.7223
Br 3.9828 0.0000 0.0000
Br 1.9914 3.4492 0.0000
Br 1.9640 5.7328 3.2227
Br 5.9467 1.1656 6.7223
Br 3.9828 4.5672 6.7223
```

Calculated values
The total moment comes out at 0.00 μB per atom. The value obtained for the formation energy from raw total energies is -1.23 eV/atom. As for the space group: No. 164. Its uncorrected energy is -2.6156 eV per atom.

***

Below is a relaxed Cs2NaCd2Br7 crystal, with properties calculated at the PBE-GGA level.

extended XYZ file:
```
12
Lattice="3.9551 -3.9556 0.0000 3.9551 3.9556 0.0000 -3.9336 0.0000 14.2546" Properties=species:S:1:pos:R:3 pbc="T T T"
Cs 0.0103 0.0000 5.0430
Cs 3.9663 0.0000 9.2116
Na 0.0000 0.0000 0.0000
Cd 0.0136 0.0000 11.4574
Cd 3.9630 0.0000 2.7972
Br 1.9879 1.9808 2.5089
Br 0.0156 0.0000 8.7359
Br 1.9887 1.9808 11.7458
Br 3.9551 0.0000 0.0000
Br 1.9879 -1.9808 2.5089
Br 3.9610 0.0000 5.5188
Br 1.9887 -1.9808 11.7458
```

Calculated values
The total moment comes out at 0.00 μB per atom. The value obtained for the formation energy from raw total energies is -1.23 eV/atom. As for the space group: No. 12. Its uncorrected energy is -2.6083 eV per atom.

***

Below is a relaxed CsNaCdBr4 crystal, with properties calculated at the PBE-GGA level.

extended XYZ file:
```
14
Lattice="7.3152 0.0000 0.0000 0.0000 7.8986 0.0000 -2.6839 0.0000 9.4722" Properties=species:S:1:pos:R:3 pbc="T T T"
Cs 1.5795 1.9746 0.5144
Cs 3.0518 5.9239 8.9579
Na -0.2590 1.9746 4.9085
Na 4.8903 5.9239 4.5638
Cd 0.8917 5.9239 3.0553
Cd 3.7397 1.9746 6.4169
Br -1.7568 0.0248 6.7062
Br -1.7568 3.9245 6.7062
Br 2.2771 5.9239 0.8424
Br 2.1037 5.9239 5.3456
Br 2.5276 1.9746 4.1266
Br 2.3543 1.9746 8.6299
Br 6.3882 3.9741 2.7660
Br 6.3882 7.8737 2.7660
```

Calculated values
The total moment comes out at 0.00 μB per atom. The value obtained for the formation energy from raw total energies is -1.33 eV/atom. As for the space group: No. 11. Its uncorrected energy is -2.7232 eV per atom.

***

Below is a relaxed CsNa3Cd4Br12 crystal, with properties calculated at the PBE-GGA level.

extended XYZ file:
```
20
Lattice="7.8672 4.5421 3.7046 -7.8672 4.5421 3.7046 0.0000 -9.0842 3.7046" Properties=species:S:1:pos:R:3 pbc="T T T"
Cs 0.0000 0.0000 0.0000
Na -4.3687 -1.5174 3.7046
Na 3.4985 -3.0247 3.7046
Na 0.8702 4.5421 3.7046
Cd -3.4374 -5.9539 5.5569
Cd 0.0000 0.0000 5.5569
Cd -3.4375 5.9539 5.5569
Cd 6.8749 0.0000 5.5569
Br -4.7119 -3.7304 5.6080
Br -6.2931 0.0000 5.5569
Br -0.8747 -5.9458 5.5058
Br -4.7119 3.7304 5.5058
Br -2.5498 0.0000 5.5569
Br 3.1465 -5.4500 5.5569
Br 1.2749 -2.2082 5.5569
Br 1.2749 2.2082 5.5569
Br -0.8747 5.9458 5.6080
Br 5.5866 -2.2154 5.6080
Br 3.1465 5.4500 5.5569
Br 5.5866 2.2154 5.5058
```

Calculated values
The total moment comes out at 0.00 μB per atom. The value obtained for the formation energy from raw total energies is -1.09 eV/atom. As for the space group: No. 155. Its uncorrected energy is -2.5220 eV per atom.

***

Below is a relaxed Cs3Na2CdBr6 crystal, with properties calculated at the PBE-GGA level.

extended XYZ file:
```
12
Lattice="8.5031 0.0000 0.0000 -4.2516 7.3639 0.0000 0.0000 0.0000 9.1532" Properties=species:S:1:pos:R:3 pbc="T T T"
Cs 0.0000 0.0000 0.0000
Cs 0.0000 4.9093 5.4773
Cs 4.2516 2.4546 3.6760
Na 0.0000 4.9093 1.5397
Na 4.2516 2.4546 7.6135
Cd 0.0000 0.0000 4.5766
Br 0.0000 2.4169 2.6842
Br -2.1585 6.1555 2.6842
Br 2.0931 1.2084 6.4691
Br 2.1585 6.1555 2.6842
Br 6.4100 1.2084 6.4691
Br 4.2516 4.9470 6.4691
```

Calculated values
The total moment comes out at 0.00 μB per atom. The value obtained for the formation energy from raw total energies is -1.31 eV/atom. As for the space group: No. 164. Its uncorrected energy is -2.6603 eV per atom.

***

Below is a relaxed CsNdCd2Br8 crystal, with properties calculated at the PBE-GGA level.

extended XYZ file:
```
12
Lattice="7.0948 0.0000 0.0000 1.9096 6.9748 0.0000 2.4273 2.3586 9.5609" Properties=species:S:1:pos:R:3 pbc="T T T"
Cs 0.0000 0.0000 0.0000
Nd 1.2137 1.1793 4.7805
Cd 4.6185 3.6057 2.0683
Cd 6.8132 5.7276 7.4927
Br 4.2738 6.6233 7.0159
Br 4.0709 6.2215 2.8283
Br 3.6135 2.7675 4.4763
Br 3.3949 2.0458 0.2904
Br 8.0368 7.2875 9.2705
Br 7.8182 6.5659 5.0846
Br 7.3608 3.1119 6.7326
Br 7.1579 2.7100 2.5450
```

Calculated values
The total moment comes out at 0.00 μB per atom. The value obtained for the formation energy from raw total energies is -1.31 eV/atom. As for the space group: No. 2. Its uncorrected energy is -3.0490 eV per atom.

***

Below is a relaxed Cs2NdCdBr6 crystal, with properties calculated at the PBE-GGA level.

extended XYZ file:
```
20
Lattice="8.3950 0.0000 0.0000 0.0000 11.8436 0.0000 0.0000 0.0000 8.3918" Properties=species:S:1:pos:R:3 pbc="T T T"
Cs 2.0987 11.8383 2.1019
Cs 2.0987 5.9272 2.1019
Cs 6.2962 0.0054 6.2899
Cs 6.2962 5.9164 6.2899
Nd 2.0987 2.9609 6.2824
Nd 6.2962 8.8827 2.1094
Cd 2.0987 8.8827 6.3063
Cd 6.2962 2.9609 2.0854
Br 0.0488 2.9609 8.3252
Br 0.0559 2.9609 4.2326
Br 2.0987 0.0671 6.2859
Br 2.0987 5.8547 6.2859
Br 4.1416 2.9609 4.2326
Br 4.1487 2.9609 8.3252
Br 4.2463 8.8827 0.0666
Br 4.2534 8.8827 4.1591
Br 6.2962 5.9889 2.1058
Br 6.2962 11.7765 2.1058
Br 8.3390 8.8827 4.1591
Br 8.3461 8.8827 0.0666
```

Calculated values
The total moment comes out at 0.00 μB per atom. The value obtained for the formation energy from raw total energies is -1.53 eV/atom. As for the space group: No. 59. Its uncorrected energy is -3.2752 eV per atom.

***

Below is a relaxed Cs2CdBr6O crystal, with properties calculated at the PBE-GGA level.

extended XYZ file:
```
10
Lattice="-3.7483 3.7483 5.9930 3.7483 -3.7483 5.9930 3.7483 3.7483 -5.9930" Properties=species:S:1:pos:R:3 pbc="T T T"
Cs 3.7483 0.0000 2.9965
Cs 0.0000 3.7483 2.9965
Cd 0.0000 0.0000 0.0000
Br 0.0000 0.0000 2.5535
Br 2.1166 2.1166 0.0000
Br 1.6317 -1.6317 5.9930
Br -1.6317 1.6317 5.9930
Br 1.6317 1.6317 5.9930
Br 0.0000 0.0000 9.4326
O 0.0000 0.0000 5.9930
```

Calculated values
The total moment comes out at 0.00 μB per atom. The value obtained for the formation energy from raw total energies is -0.75 eV/atom. As for the space group: No. 139. Its uncorrected energy is -2.5157 eV per atom.

***

Below is a relaxed Cs2CdPBr6 crystal, with properties calculated at the PBE-GGA level.

extended XYZ file:
```
10
Lattice="-3.9292 3.9292 5.5231 3.9292 -3.9292 5.5231 3.9292 3.9292 -5.5231" Properties=species:S:1:pos:R:3 pbc="T T T"
Cs 3.9292 0.0000 2.7616
Cs 0.0000 3.9292 2.7616
Cd 0.0000 0.0000 0.0000
P 0.0000 0.0000 5.5231
Br 0.0000 0.0000 2.8551
Br 2.0618 2.0618 0.0000
Br 1.8674 -1.8674 5.5231
Br -1.8674 1.8674 5.5231
Br 1.8674 1.8674 5.5231
Br 0.0000 0.0000 8.1912
```

Calculated values
The total moment comes out at 0.00 μB per atom. The value obtained for the formation energy from raw total energies is -0.95 eV/atom. As for the space group: No. 139. Its uncorrected energy is -2.7586 eV per atom.